First-principles (PBE) data for a relaxed Pr3Nd2Sm crystal, as listed in Alexandria.

Calculated values
total moment = 0.00 Bohr magnetons per cell
ΔE_f = 54 meV per atom
excess energy over the best structure of this formula in the dataset = 0.00 eV/f.u.
SG = C2/c

a b c (Å): 6.8543 9.2298 6.8543
angles (deg): 82.44 84.68 97.56
Closest atoms and distances in Å follow each position.
Sites, in units of the cell vectors:
Nd: 0.6262 0.8756 0.8769  2 Nd 3.56-3.58, 9 Pr 3.80-3.85, 3 Sm 3.81-3.83
Nd: 0.1231 0.3756 0.3738  2 Nd 3.56-3.58, 9 Pr 3.80-3.85, 3 Sm 3.81-3.83
Nd: 0.8769 0.6244 0.6262  2 Nd 3.56-3.58, 9 Pr 3.80-3.85, 3 Sm 3.81-3.83
Nd: 0.3738 0.1244 0.1231  2 Nd 3.56-3.58, 9 Pr 3.80-3.85, 3 Sm 3.81-3.83
Pr: 0.6664 0.4999 0.1674  2 Sm 3.38-3.57, 3 Pr 3.38-3.57
Pr: 0.8326 0.9999 0.3336  2 Sm 3.38-3.57, 3 Pr 3.38-3.57
Pr: 0.3336 0.5001 0.8326  2 Sm 3.38-3.57, 3 Pr 3.38-3.57
Pr: 0.5845 0.2500 0.5845  1 Sm 3.37, 4 Pr 3.38-3.57
Pr: 0.1674 0.0001 0.6664  2 Sm 3.38-3.57, 3 Pr 3.38-3.57
Pr: 0.4155 0.7500 0.4155  1 Sm 3.37, 4 Pr 3.38-3.57
Sm: 0.9170 0.2500 0.9170  5 Pr 3.37-3.57
Sm: 0.0830 0.7500 0.0830  5 Pr 3.37-3.57